1.
A relaxed CsInHg2Au crystal. Source: Alexandria, functional PBE.

Geometry as extended XYZ:
```
5
Lattice="-2.850 1.252 -3.778 -3.238 -3.903 1.149 -0.233 5.145 5.052" Properties=species:S:1:pos:R:3 pbc="T T T"
Au -5.120 1.094 1.053
Hg -0.323 0.377 0.369
Hg -2.757 2.178 -0.370
In -2.926 -0.429 2.064
Cs -2.907 3.388 3.316
```

Summary:
Energy relative to the elements (meV per atom): -193
Energy (eV per cell): -8.44
SG: Imm2
V (Å³ per cell): 160
E above lowest polymorph (eV/f.u.): 0.00

***

2.
A relaxed Li2DyMg2Cd2 crystal. Source: Alexandria, functional PBE.

Geometry as extended XYZ:
```
7
Lattice="4.882 0.000 0.000 -2.441 4.180 -0.407 0.000 -2.188 7.512" Properties=species:S:1:pos:R:3 pbc="T T T"
Cd 0.000 2.966 1.562
Cd 2.441 -0.974 5.544
Dy 0.000 0.000 0.000
Li 2.441 1.515 1.130
Li 0.000 0.477 5.976
Mg 0.000 0.272 3.122
Mg 2.441 1.720 3.983
```

Summary:
Energy relative to the elements (meV per atom): -122
Energy (eV per cell): -14.30
SG: C2/m
V (Å³ per cell): 149

***

3.
A relaxed BePtRh2 crystal. Source: Alexandria, functional PBE.

Geometry as extended XYZ:
```
4
Lattice="-0.104 -3.544 -2.768 -0.408 -1.152 5.081 -2.650 -0.331 0.394" Properties=species:S:1:pos:R:3 pbc="T T T"
Rh 0.000 0.000 0.000
Rh -1.377 -1.937 -1.187
Be -1.529 -0.742 2.738
Pt -0.256 -2.348 1.156
```

Summary:
Energy relative to the elements (meV per atom): -37
Energy (eV per cell): -24.62
SG: C2/m
V (Å³ per cell): 55